# BaLiV

An optimized crystal structure of BaLiV (GGA-PBE, Alexandria).

Computed properties:
distance to the lowest polymorph of the same formula	559	meV/atom
symmetry	F-43m, No. 216
energy of formation from the pure elements	98.2	kJ per mole of atoms

The structure in POSCAR format:
```
BaLiV
1.0
0.0000 3.8482 3.8482
3.8482 0.0000 3.8482
3.8482 3.8482 0.0000
Ba V Li
1 1 1
direct
0.7500 0.7500 0.7500
0.5000 0.5000 0.5000
0.2500 0.2500 0.2500
```